La2CdSn4Pt3: optimized geometry, PBE.

Values from the calculation:
Density in g cm⁻³: 10.13
Electronic total energy in eV/atom: -5.285
Formation energy from the elements in eV per atom: -0.795

Geometry as CIF:
```
data_La2CdSn4Pt3
_chemical_formula_sum 'La2 Cd1 Sn4 Pt3'
_symmetry_space_group_name_H-M 'P -4 m 2'
_symmetry_Int_Tables_number 115
_cell_length_a 4.5654
_cell_length_b 4.5654
_cell_length_c 11.4035
_cell_angle_alpha 90.00
_cell_angle_beta 90.00
_cell_angle_gamma 90.00
loop_
_symmetry_equiv_pos_as_xyz
'x,y,z'
'y,-x,-z'
'-x,-y,z'
'-y,x,-z'
'-x,y,z'
'-y,-x,-z'
'x,-y,z'
'y,x,-z'
loop_
_atom_site_label
_atom_site_type_symbol
_atom_site_fract_x
_atom_site_fract_y
_atom_site_fract_z
_atom_site_occupancy
La1 La 0.0000 0.5000 0.2493 1
Cd1 Cd 0.0000 0.0000 0.5000 1
Sn1 Sn 0.0000 0.0000 0.0000 1
Sn2 Sn 0.0000 0.5000 0.6425 1
Sn3 Sn 0.5000 0.5000 0.0000 1
Pt1 Pt 0.0000 0.5000 0.8724 1
Pt2 Pt 0.5000 0.5000 0.5000 1
```